Below is an optimized crystal structure of Ce3PPt, with properties calculated at the GGA-PBE level.

Cell lengths 5.495, 6.686, 8.193 Å; angles 68.43, 70.50, 65.83 degrees
Element x y z (fractional)
Ce 0.110 0.163 0.118
Ce 0.351 0.170 0.627
Ce 0.367 0.488 0.279
Ce 0.633 0.512 0.721
Ce 0.649 0.830 0.373
Ce 0.890 0.837 0.882
P 0.370 0.813 0.946
P 0.630 0.187 0.054
Pt 0.105 0.752 0.540
Pt 0.895 0.248 0.460

Output
Its symmetry is P-1 (2). As for the energy of formation from the pure elements: -80.7 kJ/mol of atoms.


Below is an optimized crystal structure of ZrBe2NbTc, with properties calculated at the GGA-PBE level.

Cell lengths 4.476, 4.476, 4.735 Å; angles 90.00, 90.00, 90.00 degrees
Element x y z (fractional)
Zr 0.000 0.000 0.000
Be 0.000 0.500 0.000
Be 0.500 0.000 0.000
Nb 0.000 0.000 0.500
Tc 0.500 0.500 0.500

Output
Its symmetry is P4/mmm (123). As for the energy of formation from the pure elements: 186.7 kJ/mol of atoms.


Below is an optimized crystal structure of RbPOs2, with properties calculated at the GGA-PBE level.

Cell lengths 8.747, 8.747, 8.747 Å; angles 146.82, 146.82, 47.62 degrees
Element x y z (fractional)
Rb 0.375 0.625 0.750
Rb 0.625 0.375 0.250
P 0.125 0.875 0.250
P 0.875 0.125 0.750
Os 0.000 0.000 0.000
Os 0.000 0.000 0.500
Os 0.000 0.500 0.000
Os 0.500 0.000 0.500

Output
Its symmetry is I4_1/amd (141). As for the energy of formation from the pure elements: 81.4 kJ/mol of atoms.


Below is an optimized crystal structure of NdThSe2, with properties calculated at the GGA-PBE level.

Cell lengths 5.159, 5.159, 5.159 Å; angles 60.00, 60.00, 60.00 degrees
Element x y z (fractional)
Nd 0.000 0.000 0.000
Th 0.500 0.500 0.500
Se 0.250 0.250 0.250
Se 0.750 0.750 0.750

Output
Its symmetry is Fm-3m (225). The formation energy without anion corrections is -1.50 eV per atom. Its energy above the most stable polymorph in this dataset is 0.182 eV per atom.


Below is an optimized crystal structure of ZrCrIr2, with properties calculated at the GGA-PBE level.

Cell lengths 2.995, 3.609, 5.931 Å; angles 90.00, 90.09, 90.00 degrees
Element x y z (fractional)
Zr 0.000 0.000 0.000
Cr 0.000 0.000 0.500
Ir 0.500 0.500 0.270
Ir 0.500 0.500 0.730

Output
Its symmetry is P2/m (10). As for the energy of formation from the pure elements: -37.7 kJ/mol of atoms. Its energy above the most stable polymorph in this dataset is 0.096 eV per atom.


Below is an optimized crystal structure of Na2CeAu, with properties calculated at the GGA-PBE level.

Cell lengths 11.822, 11.822, 11.822 Å; angles 15.09, 15.09, 15.09 degrees
Element x y z (fractional)
Na 0.097 0.097 0.097
Na 0.903 0.903 0.903
Ce 0.000 0.000 0.000
Au 0.500 0.500 0.500

Output
Its symmetry is R-3m (166). As for the energy of formation from the pure elements: 8.6 kJ/mol of atoms.


Below is an optimized crystal structure of La12Tl3Cu, with properties calculated at the GGA-PBE level.

Cell lengths 5.073, 5.073, 19.911 Å; angles 90.00, 90.00, 90.00 degrees
Element x y z (fractional)
La 0.000 0.000 0.000
La 0.000 0.000 0.243
La 0.000 0.000 0.500
La 0.000 0.000 0.757
La 0.000 0.500 0.116
La 0.000 0.500 0.372
La 0.000 0.500 0.628
La 0.000 0.500 0.884
La 0.500 0.000 0.116
La 0.500 0.000 0.372
La 0.500 0.000 0.628
La 0.500 0.000 0.884
Tl 0.500 0.500 0.244
Tl 0.500 0.500 0.500
Tl 0.500 0.500 0.756
Cu 0.500 0.500 0.000

Output
Its symmetry is P4/mmm (123). As for the energy of formation from the pure elements: -14.7 kJ/mol of atoms.


Below is an optimized crystal structure of TcMo3As, with properties calculated at the GGA-PBE level.

Cell lengths 4.533, 4.533, 4.533 Å; angles 90.00, 90.00, 90.00 degrees
Element x y z (fractional)
Tc 0.000 0.000 0.000
Mo 0.000 0.500 0.500
Mo 0.500 0.000 0.500
Mo 0.500 0.500 0.000
As 0.500 0.500 0.500

Output
Its symmetry is Pm-3m (221). As for the energy of formation from the pure elements: 132.0 kJ/mol of atoms. Its energy above the most stable polymorph in this dataset is 0.000 eV per atom.